DFT (PBE-GGA) results for a relaxed structure of Pm2DyTaN4.

a = 5.899 Å, b = 3.392 Å, c = 5.987 Å
α = 90.00°, β = 108.78°, γ = 90.00°
Sites, in units of the cell vectors:
1 Pm 0.000 0.000 0.000
2 Pm 0.500 0.500 0.000
3 Dy 0.000 0.500 0.500
4 Ta 0.500 0.000 0.500
5 N 0.266 0.000 0.719
6 N 0.279 0.500 0.287
7 N 0.721 0.500 0.713
8 N 0.734 0.000 0.281

Values from the calculation:
Raw formation energy = -1410 meV per atom


DFT (PBE-GGA) results for a relaxed structure of RbY2VIn.

a = 5.817 Å, b = 5.817 Å, c = 6.385 Å
α = 90.00°, β = 90.00°, γ = 90.00°
Sites, in units of the cell vectors:
1 Rb 0.000 0.000 0.000
2 Y 0.000 0.500 0.500
3 Y 0.500 0.000 0.500
4 V 0.500 0.500 0.000
5 In 0.000 0.000 0.500

Values from the calculation:
Energy of formation = 1.100 eV/atom
Offset from the most stable computed form = 0.00 eV per formula unit


| no. | calculated density (kg/m3) |
| --- | --- |
| 1 | 10093 |
| 2 | 3297 |